No. 1
MnCo2GeRh | the Alexandria database | PBE-GGA | optimized geometry; crystal system = tetragonal; formation enthalpy at 0 K = 1.183 eV/atom
1.0
-4.379 1.208 -0.133
-0.110 -0.905 -4.602
-1.211 -4.292 0.873
Co Mn Rh Ge
2 1 1 1
direct
0.500 0.000 0.000
0.000 0.000 0.500
0.000 0.500 0.000
0.000 0.000 0.000
0.500 0.500 0.500


No. 2
MnCoGeRh | the Alexandria database | PBE-GGA | optimized geometry; crystal system = cubic; formation enthalpy at 0 K = -0.308 eV/atom
1.0
4.194 0.000 0.000
2.097 3.632 0.000
2.097 1.211 3.425
Ge Rh Mn Co
1 1 1 1
direct
0.250 0.250 0.250
0.500 0.500 0.500
0.750 0.750 0.750
0.000 0.000 0.000


- Number 2 is which compound?
  MnCoGeRh


- The highest formation enthalpy at 0 K belongs to which entry?
  MnCo2GeRh


What did the second record say?
MnCoGeRh | the Alexandria database | PBE-GGA | optimized geometry; crystal system = cubic; formation enthalpy at 0 K = -0.308 eV/atom
1.0
4.194 0.000 0.000
2.097 3.632 0.000
2.097 1.211 3.425
Ge Rh Mn Co
1 1 1 1
direct
0.250 0.250 0.250
0.500 0.500 0.500
0.750 0.750 0.750
0.000 0.000 0.000